(1)
A relaxed structure of LaTb2Pt9. Source: the Alexandria database, functional PBE-GGA.

Lattice parameters (Å, degrees): 5.4525 5.4525 26.5892 90.00 90.00 120.00
Space group R-3m (No. 166, hexagonal axes)
One atom of each set of equivalent atoms:
La1 0.0000 0.0000 0.0000 (multiplicity 3)
Tb1 0.0000 0.0000 0.1402 (multiplicity 6)
Pt1 0.0000 0.0000 0.3329 (multiplicity 6)
Pt2 0.0000 0.0000 0.5000 (multiplicity 3)
Pt3 0.0047 0.5024 0.9141 (multiplicity 18)

Calculated values
DFT total energy (eV/atom): -6.692
N(E_F) (states/eV per atom): 0.7262
Formation energy from the elements (eV/atom): -0.98

---

(2)
A relaxed structure of Re4RuBr. Source: the Alexandria database, functional PBE-GGA.

Lattice parameters (Å, degrees): 7.377 7.377 7.377 90.00 90.00 90.00
Space group F-43m (No. 216)
One atom of each set of equivalent atoms:
Re1 0.125 0.125 0.125 (multiplicity 16)
Ru1 0.250 0.250 0.750 (multiplicity 4)
Br1 0.000 0.000 0.500 (multiplicity 4)

Calculated values
Uncorrected formation energy (eV/atom): 1.177
DFT total energy (eV/atom): -8.947
N(E_F) (states/eV per atom): 0.7448

---

(3)
A relaxed structure of TiAlTcRu. Source: the Alexandria database, functional PBE-GGA.

Lattice parameters (Å, degrees): 3.092 4.247 4.368 90.00 90.00 90.00
Space group Pmmm (No. 47)
One atom of each set of equivalent atoms:
Ti1 0.000 0.000 0.000 (multiplicity 1)
Al1 0.000 0.500 0.500 (multiplicity 1)
Tc1 0.500 0.500 0.000 (multiplicity 1)
Ru1 0.500 0.000 0.500 (multiplicity 1)

Calculated values
DFT total energy (eV/atom): -8.389
N(E_F) (states/eV per atom): 1.0179
Formation energy from the elements (eV/atom): -0.57

---

(4)
A relaxed structure of Nb2SnHRu. Source: the Alexandria database, functional PBE-GGA.

Lattice parameters (Å, degrees): 4.139 4.139 4.236 90.00 90.00 90.00
Space group P4/mmm (No. 123)
One atom of each set of equivalent atoms:
Nb1 0.000 0.500 0.000 (multiplicity 2)
Sn1 0.000 0.000 0.500 (multiplicity 1)
H1 0.500 0.500 0.000 (multiplicity 1)
Ru1 0.500 0.500 0.500 (multiplicity 1)

Calculated values
DFT total energy (eV/atom): -7.491
N(E_F) (states/eV per atom): 0.8563